Below is crystalline Dy2RhC at its relaxed geometry, with properties calculated at the PBE level.

Values from the calculation:
Total magnetization   0.0 Bohr magnetons per cell

Cell lengths 3.5335, 3.5335, 7.2485 Å; angles 75.89, 75.89, 60.00 degrees
Last column: nearest neighbours and their distance in Å.
Element x y z (fractional)
Dy 0.2336 0.2336 0.2993  3 C 2.47
C 0.5000 0.5000 0.5000  6 Dy 2.47
Dy 0.7664 0.7664 0.7007  3 C 2.47
Rh 0.0000 0.0000 0.0000  6 Dy 2.91

=====

Below is crystalline DyRhC at its relaxed geometry, with properties calculated at the PBE level.

Values from the calculation:
Total magnetization   0.0 Bohr magnetons per cell

Cell lengths 4.8894, 3.3404, 3.3404 Å; angles 120.00, 90.00, 90.00 degrees
Last column: nearest neighbours and their distance in Å.
Element x y z (fractional)
Rh 0.2103 0.0000 0.0000  3 C 2.08
Dy 0.7392 0.3333 0.6667  3 C 2.46
C 0.0506 0.6667 0.3333  3 Rh 2.08

=====

Below is crystalline Dy12Rh3C5 at its relaxed geometry, with properties calculated at the PBE level.

Values from the calculation:
Total magnetization   0.0 Bohr magnetons per cell

Cell lengths 13.3267, 13.3267, 13.3267 Å; angles 109.47, 109.47, 109.47 degrees
Last column: nearest neighbours and their distance in Å.
Element x y z (fractional)
Rh 0.2500 0.6250 0.8750  8 Dy 2.92-3.05
Dy 0.4723 0.7933 0.8763  2 C 2.30-2.52
Dy 0.2933 0.4170 0.8210  2 C 2.30-2.52
C 0.8750 0.6250 0.7500  4 Dy 2.30
Dy 0.2933 0.8763 0.9723  2 C 2.30-2.52
Dy 0.3763 0.9723 0.7933  2 C 2.30-2.52
C 0.5000 0.0000 0.5000  6 Dy 2.52
Rh 0.1250 0.2500 0.8750  8 Dy 2.92-3.05
C 0.2500 0.3750 0.6250  4 Dy 2.30
Dy 0.8763 0.2933 0.4723  2 C 2.30-2.52
Dy 0.0960 0.1790 0.4723  2 C 2.30-2.52
Rh 0.8750 0.1250 0.2500  8 Dy 2.92-3.05
Dy 0.7067 0.5830 0.1790  2 C 2.30-2.52
Dy 0.5960 0.9723 0.6790  2 C 2.30-2.52
Dy 0.1790 0.0830 0.7067  2 C 2.30-2.52
Rh 0.2500 0.1250 0.3750  8 Dy 2.92-3.05
Dy 0.3763 0.4040 0.0830  2 C 2.30-2.52
Dy 0.9723 0.5960 0.1790  2 C 2.30-2.52
Dy 0.6237 0.5960 0.9170  2 C 2.30-2.52
C 0.6250 0.7500 0.8750  4 Dy 2.30
C 0.5000 0.0000 0.0000  6 Dy 2.52
Dy 0.1237 0.4170 0.0960  2 C 2.30-2.52
Rh 0.3750 0.7500 0.6250  8 Dy 2.92-3.05
C 0.1250 0.3750 0.2500  4 Dy 2.30
C 0.7500 0.1250 0.8750  4 Dy 2.30
Dy 0.4040 0.3763 0.5830  2 C 2.30-2.52
C 0.0000 0.5000 0.0000  6 Dy 2.52
Dy 0.2067 0.5277 0.6237  2 C 2.30-2.52
Dy 0.9170 0.0960 0.6237  2 C 2.30-2.52
Dy 0.8210 0.9170 0.2933  2 C 2.30-2.52
Dy 0.0277 0.4040 0.8210  2 C 2.30-2.52
Dy 0.5277 0.3210 0.9040  2 C 2.30-2.52
Dy 0.1237 0.7067 0.5277  2 C 2.30-2.52
Dy 0.9040 0.0830 0.8763  2 C 2.30-2.52
C 0.3750 0.1250 0.7500  4 Dy 2.30
Dy 0.7933 0.4723 0.3763  2 C 2.30-2.52
C 0.3750 0.2500 0.1250  4 Dy 2.30
Rh 0.7500 0.3750 0.1250  8 Dy 2.92-3.05
C 0.0000 0.0000 0.5000  6 Dy 2.52
Dy 0.3210 0.5277 0.4040  2 C 2.30-2.52
Dy 0.4170 0.2933 0.3210  2 C 2.30-2.52
C 0.1250 0.7500 0.3750  4 Dy 2.30
Rh 0.7500 0.8750 0.6250  8 Dy 2.92-3.05
Rh 0.6250 0.2500 0.3750  8 Dy 2.92-3.05
Dy 0.9170 0.8210 0.7933  2 C 2.30-2.52
Dy 0.5830 0.7067 0.6790  2 C 2.30-2.52
Dy 0.8763 0.5830 0.9040  2 C 2.30-2.52
Dy 0.7933 0.3210 0.9170  2 C 2.30-2.52
Dy 0.3210 0.7933 0.4170  2 C 2.30-2.52
C 0.6250 0.8750 0.2500  4 Dy 2.30
Dy 0.5830 0.8763 0.4040  2 C 2.30-2.52
Dy 0.4040 0.0277 0.3210  2 C 2.30-2.52
Dy 0.0830 0.9040 0.3763  2 C 2.30-2.52
C 0.2500 0.8750 0.1250  4 Dy 2.30
Dy 0.1790 0.0960 0.9723  2 C 2.30-2.52
C 0.0000 0.5000 0.5000  6 Dy 2.52
Dy 0.2067 0.6790 0.0830  2 C 2.30-2.52
Dy 0.7067 0.1237 0.0277  2 C 2.30-2.52
Dy 0.5277 0.2067 0.1237  2 C 2.30-2.52
Dy 0.5960 0.6237 0.4170  2 C 2.30-2.52
C 0.8750 0.2500 0.6250  4 Dy 2.30
Rh 0.8750 0.7500 0.1250  8 Dy 2.92-3.05
Rh 0.1250 0.8750 0.7500  8 Dy 2.92-3.05
Dy 0.0960 0.9170 0.1237  2 C 2.30-2.52
Dy 0.6790 0.2067 0.5830  2 C 2.30-2.52
C 0.5000 0.5000 0.5000  6 Dy 2.52
C 0.5000 0.5000 0.0000  6 Dy 2.52
C 0.7500 0.6250 0.3750  4 Dy 2.30
Rh 0.3750 0.6250 0.2500  8 Dy 2.92-3.05
Dy 0.9723 0.3763 0.2933  2 C 2.30-2.52
Dy 0.4723 0.6790 0.0960  2 C 2.30-2.52
Dy 0.6237 0.0277 0.2067  2 C 2.30-2.52
C 0.0000 0.0000 0.0000  6 Dy 2.52
Dy 0.9040 0.8210 0.5277  2 C 2.30-2.52
Rh 0.6250 0.3750 0.7500  8 Dy 2.92-3.05
Dy 0.0830 0.1790 0.2067  2 C 2.30-2.52
Dy 0.0277 0.6237 0.7067  2 C 2.30-2.52
Dy 0.4170 0.1237 0.5960  2 C 2.30-2.52
Dy 0.8210 0.9040 0.0277  2 C 2.30-2.52
Dy 0.6790 0.4723 0.5960  2 C 2.30-2.52

=====

Below is crystalline DyRhC at its relaxed geometry, with properties calculated at the PBE level.

Values from the calculation:
Total magnetization   0.0 Bohr magnetons per cell

Cell lengths 4.5791, 4.5791, 5.5677 Å; angles 114.28, 114.28, 90.00 degrees
Last column: nearest neighbours and their distance in Å.
Element x y z (fractional)
Dy 0.4971 0.4971 0.9943  3 C 2.30-2.46
C 0.0185 0.5185 0.0369  1 Rh 1.96
Dy 0.7471 0.2471 0.4943  3 C 2.30-2.46
Rh 0.9844 0.9844 0.9688  1 C 1.96
Rh 0.2344 0.7344 0.4688  1 C 1.96
C 0.7685 0.7685 0.5369  1 Rh 1.96

=====

Number 1: E_form -0.367 eV/atom. Number 2: E_form -0.240 eV/atom. Number 3: E_form -0.288 eV/atom. Number 4: E_form -0.107 eV/atom.